This record from the Alexandria database describes an optimized crystal structure of PuCo2NiO8. The functional is PBE+U.

Properties
- final energy (eV/atom) = -6.568
- calculated volume (Å³/cell) = 286
- calculated density (g/cm³) = 6.38

abc: 6.542 6.542 6.676
angles: 90.00 90.00 90.00
Space group I-4m2 (No. 119)
One atom of each set of equivalent atoms:
Pu 0.000 0.000 0.000
Co 0.000 0.000 0.500
Co 0.000 0.500 0.750
Ni 0.000 0.500 0.250
O 0.000 0.185 0.317
O 0.000 0.299 0.962